No. 1
Material: UPa4Se5
Method: DFT, PBE-GGA
State: optimized geometry

The calculation puts the magnetic moment at 4.9 μB per formula unit. For the uncorrected formation energy, the calculation gives -1.16 eV per atom. The calculated volume comes out at 237.57 Å³ per cell.

Structure (POSCAR):
```
UPa4Se5
1.0
-1.941 2.877 10.635
1.941 -2.877 10.635
1.941 2.877 -10.635
U Pa Se
1 4 5
Direct
0.000 0.000 0.000 U
0.200 0.200 0.000 Pa
0.400 0.400 0.000 Pa
0.600 0.600 0.000 Pa
0.800 0.800 0.000 Pa
0.099 0.599 0.500 Se
0.300 0.800 0.500 Se
0.500 0.000 0.500 Se
0.700 0.200 0.500 Se
0.901 0.401 0.500 Se
```

No. 2
Material: Ac8Zn2Pt
Method: DFT, PBE-GGA
State: optimized geometry

The calculation puts the magnetic moment at 0.0 μB per formula unit. The calculation puts the uncorrected energy at -44.037 eV for the cell shown. The calculated volume comes out at 395.85 Å³ per cell.

Structure (POSCAR):
```
Ac8Zn2Pt
1.0
9.887 -2.757 0.000
9.887 2.757 0.000
-1.412 0.000 7.260
Ac Zn Pt
8 2 1
Direct
0.026 0.026 0.280 Ac
0.206 0.206 0.827 Ac
0.344 0.344 0.533 Ac
0.410 0.410 0.060 Ac
0.590 0.590 0.940 Ac
0.656 0.656 0.467 Ac
0.794 0.794 0.173 Ac
0.974 0.974 0.720 Ac
0.191 0.191 0.248 Zn
0.809 0.809 0.752 Zn
0.500 0.500 0.500 Pt
```

No. 3
Material: Zn2NiHgMo
Method: DFT, PBE-GGA
State: optimized geometry

The calculation puts the magnetic moment at 2.4 μB per formula unit. The calculation puts the uncorrected energy at -12.234 eV for the cell shown. The calculated volume comes out at 124.96 Å³ per cell.

Structure (POSCAR):
```
Zn2NiHgMo
1.0
4.885 0.000 0.000
0.000 4.885 0.000
0.000 0.000 5.237
Zn Ni Hg Mo
2 1 1 1
Direct
0.000 0.500 0.000 Zn
0.500 0.000 0.000 Zn
0.000 0.000 0.500 Ni
0.500 0.500 0.500 Hg
0.500 0.500 0.000 Mo
```

No. 4
Material: Zr2CoI2
Method: DFT, PBE-GGA
State: optimized geometry

The calculation puts the magnetic moment at 1.3 μB per formula unit. The energy above the lowest structure with this stoichiometry comes out at 564 meV per atom. For the uncorrected formation energy, the calculation gives 0.76 eV per atom. The calculated volume comes out at 142.85 Å³ per cell.

Structure (POSCAR):
```
Zr2CoI2
1.0
-2.361 2.361 6.405
2.361 -2.361 6.405
2.361 2.361 -6.405
Zr Co I
2 1 2
Direct
0.107 0.107 0.000 Zr
0.893 0.893 0.000 Zr
0.500 0.500 0.000 Co
0.250 0.750 0.500 I
0.750 0.250 0.500 I
```

No. 5
Material: BaNpOsO6
Method: DFT, PBE-GGA
State: optimized geometry

The calculation puts the magnetic moment at 0.8 μB per formula unit. For the uncorrected formation energy, the calculation gives -2.16 eV per atom. The calculated volume comes out at 300.76 Å³ per cell.

Structure (POSCAR):
```
BaNpOsO6
1.0
-3.620 3.900 5.324
3.620 -3.900 5.324
3.620 3.900 -5.324
Ba Np Os O
2 2 2 12
Direct
0.298 0.048 0.250 Ba
0.702 0.952 0.750 Ba
0.000 0.500 0.500 Np
0.500 0.500 0.000 Np
0.000 0.000 0.500 Os
0.000 0.500 0.000 Os
0.027 0.777 0.250 O
0.044 0.388 0.202 O
0.044 0.841 0.656 O
0.315 0.159 0.702 O
0.315 0.612 0.156 O
0.330 0.580 0.750 O
0.670 0.420 0.250 O
0.685 0.388 0.844 O
0.685 0.841 0.298 O
0.956 0.159 0.344 O
0.956 0.612 0.798 O
0.973 0.223 0.750 O
```

No. 6
Material: NaTiO3
Method: DFT, PBE-GGA
State: optimized geometry

The calculation puts the magnetic moment at 1.0 μB per formula unit. For the uncorrected formation energy, the calculation gives -1.56 eV per atom. The calculated volume comes out at 124.36 Å³ per cell.

Structure (POSCAR):
```
NaTiO3
1.0
3.332 0.000 0.000
-1.666 2.886 0.000
0.000 0.000 12.932
Na Ti O
2 2 6
Direct
0.333 0.667 0.250 Na
0.667 0.333 0.750 Na
0.000 0.000 0.000 Ti
0.000 0.000 0.500 Ti
0.000 0.000 0.250 O
0.000 0.000 0.750 O
0.333 0.667 0.062 O
0.333 0.667 0.438 O
0.667 0.333 0.562 O
0.667 0.333 0.938 O
```

No. 7
Material: Pm4Sb2PSe
Method: DFT, PBE-GGA
State: optimized geometry

The calculation puts the magnetic moment at 0.0 μB per formula unit. For the uncorrected formation energy, the calculation gives -1.45 eV per atom. The calculated volume comes out at 229.56 Å³ per cell.

Structure (POSCAR):
```
Pm4Sb2PSe
1.0
7.488 0.000 0.000
0.000 4.320 0.000
-2.480 0.000 7.097
Pm Sb P Se
4 2 1 1
Direct
0.237 0.000 0.231 Pm
0.247 0.500 0.765 Pm
0.753 0.500 0.235 Pm
0.763 0.000 0.769 Pm
0.000 0.000 0.500 Sb
0.500 0.500 0.500 Sb
0.000 0.500 0.000 P
0.500 0.000 0.000 Se
```

No. 8
Material: RbPdS
Method: DFT, PBE-GGA
State: optimized geometry

The calculation puts the magnetic moment at 0.0 μB per formula unit. For the uncorrected formation energy, the calculation gives -0.52 eV per atom. The calculated volume comes out at 189.89 Å³ per cell.

Structure (POSCAR):
```
RbPdS
1.0
6.680 -2.156 0.000
6.680 2.156 0.000
-1.614 0.000 6.592
Rb Pd S
2 2 2
Direct
0.147 0.147 0.195 Rb
0.853 0.853 0.805 Rb
0.078 0.078 0.658 Pd
0.922 0.922 0.342 Pd
0.401 0.401 0.243 S
0.599 0.599 0.757 S
```

No. 9
Material: InAgCl2
Method: DFT, PBE-GGA
State: optimized geometry

The calculation puts the magnetic moment at 0.0 μB per formula unit. For the uncorrected formation energy, the calculation gives -0.44 eV per atom. The calculated volume comes out at 105.81 Å³ per cell.

Structure (POSCAR):
```
InAgCl2
1.0
-2.055 2.055 6.261
2.055 -2.055 6.261
2.055 2.055 -6.261
In Ag Cl
1 1 2
Direct
0.000 0.000 0.000 In
0.250 0.750 0.500 Ag
0.500 0.500 0.000 Cl
0.750 0.250 0.500 Cl
```

No. 10
Material: HgPd8Pb2
Method: DFT, PBE-GGA
State: optimized geometry

The calculation puts the magnetic moment at 0.0 μB per formula unit. The energy above the lowest structure with this stoichiometry comes out at 16 meV per atom. The calculated volume comes out at 192.55 Å³ per cell.

Structure (POSCAR):
```
HgPd8Pb2
1.0
7.430 -2.084 0.000
7.430 2.084 0.000
-2.148 0.000 6.218
Hg Pd Pb
1 8 2
Direct
0.000 0.000 0.000 Hg
0.088 0.088 0.459 Pd
0.174 0.174 0.915 Pd
0.355 0.355 0.798 Pd
0.464 0.464 0.272 Pd
0.536 0.536 0.728 Pd
0.645 0.645 0.202 Pd
0.826 0.826 0.085 Pd
0.912 0.912 0.541 Pd
0.287 0.287 0.336 Pb
0.713 0.713 0.664 Pb
```

No. 11
Material: CoIN2
Method: DFT, PBE-GGA
State: optimized geometry

The calculation puts the magnetic moment at 0.3 μB per formula unit. The energy above the lowest structure with this stoichiometry comes out at 0 meV per atom. For the uncorrected formation energy, the calculation gives 1.02 eV per atom. The calculated volume comes out at 51.73 Å³ per cell.

Structure (POSCAR):
```
CoIN2
1.0
1.563 0.902 6.116
-1.563 0.902 6.116
0.000 -1.804 6.116
Co I N
1 1 2
Direct
0.000 0.000 0.000 Co
0.500 0.500 0.500 I
0.380 0.380 0.380 N
0.620 0.620 0.620 N
```

- Among the records above, which one has the lowest calculated volume?
  CoIN2

- Which of these has the lowest calculated volume?
  CoIN2

What did the eighth record say?
Material: RbPdS
Method: DFT, PBE-GGA
State: optimized geometry

The calculation puts the magnetic moment at 0.0 μB per formula unit. For the uncorrected formation energy, the calculation gives -0.52 eV per atom. The calculated volume comes out at 189.89 Å³ per cell.

Structure (POSCAR):
```
RbPdS
1.0
6.680 -2.156 0.000
6.680 2.156 0.000
-1.614 0.000 6.592
Rb Pd S
2 2 2
Direct
0.147 0.147 0.195 Rb
0.853 0.853 0.805 Rb
0.078 0.078 0.658 Pd
0.922 0.922 0.342 Pd
0.401 0.401 0.243 S
0.599 0.599 0.757 S
```